A plane-wave DFT calculation with PBEsol was carried out for a geometry-optimized AlGaCl3 structure.

D(E_F) (states/eV per cell): 0.89
Crystal system: cubic
SG: Pm-3m, No. 221
Theoretical density (g cm⁻³): 2.8
Uncorrected formation energy (eV/f.u.): -2.71

Cell: 4.963 4.963 4.963 Å, 90.00 90.00 90.00°
Element x y z (fractional)
Al1 0.500 0.500 0.500
Ga1 0.000 0.000 0.000
Cl1 0.000 0.000 0.500
Cl2 0.000 0.500 0.000
Cl3 0.500 0.000 0.000